The following is a PBE calculation of a relaxed Pm3PuHg4 crystal, from Alexandria via LeMat-Bulk.

Lattice parameters (Å, degrees): 3.796 3.796 15.225 90.00 90.00 90.00
Last column: magnetic moment on the atom in μB.
Atoms (fractional coordinates):
Hg1 0.000 0.000 0.874  0.02
Pu1 0.500 0.500 0.000  5.54
Pm1 0.500 0.500 0.500  0.18
Hg2 0.000 0.000 0.625  0.01
Hg3 0.000 0.000 0.375  0.01
Pm2 0.500 0.500 0.751  0.18
Pm3 0.500 0.500 0.249  0.18
Hg4 0.000 0.000 0.126  0.02

Output
The volume comes out at 27.43 A^3/atom. The calculation puts the energy of formation at -0.3809 eV/atom. Its symmetry is No. 123.